VASP calculation (PBE-GGA) on an optimized crystal structure of Pa4Sb8Pd3.

Output
SG = No. 115
Magnetic moment = 0.01 μB/cell
Formation energy without anion corrections = -0.63 eV per atom
Total DFT energy (no corrections) = -6.395 eV per atom

Unit cell a=4.3952 b=4.3952 c=18.8339 alpha=90.00 beta=90.00 gamma=90.00
Element x y z (fractional)
Sb1 0.5000 0.5000 0.2451
Sb2 0.5000 0.0000 0.5915
Sb3 0.5000 0.5000 0.7549
Sb4 0.0000 0.5000 0.9190
Sb5 0.0000 0.0000 0.2453
Sb6 0.5000 0.0000 0.0810
Sb7 0.0000 0.5000 0.4085
Sb8 0.0000 0.0000 0.7547
Pd1 0.5000 0.5000 0.5000
Pd2 0.0000 0.0000 0.0000
Pd3 0.0000 0.0000 0.5000
Pa1 0.5000 0.0000 0.3737
Pa2 0.5000 0.0000 0.8828
Pa3 0.0000 0.5000 0.1172
Pa4 0.0000 0.5000 0.6263